Ba2AgOsPt | PBE-GGA | optimized geometry

Energy of formation from the pure elements = 1.021 eV/atom
M_tot = 2.3 μB/f.u.
N(E_F) = 1.00 states/eV/atom

```
Ba2AgOsPt
1.0
6.066 0.000 0.000
0.000 6.066 0.000
0.000 0.000 4.947
Ba Ag Os Pt
2 1 1 1
Cartesian
0.000 3.033 0.000
3.033 0.000 0.000
0.000 0.000 0.000
3.033 3.033 2.473
0.000 0.000 2.473
```